Record 1
Density functional theory data (PBE) for an optimized crystal structure of HoZr2Tc.

Total moment = 0.00 μB per cell
VASP energy = -32.5 eV/cell
Calculated volume = 89.63 Å³/cell
Energy above the lowest structure with this stoichiometry = 0.000 eV per atom
ΔH_f (0 K) = -0.105 eV per atom
Space group = P4/mmm

Unit cell a=3.344 b=3.344 c=8.017 alpha=90.00 beta=90.00 gamma=90.00
Fractional positions:
Ho: 0.000 0.000 0.000
Zr: 0.500 0.500 0.305
Zr: 0.500 0.500 0.695
Tc: 0.000 0.000 0.500

Record 2
Density functional theory data (PBE) for an optimized crystal structure of HoZr2Tc.

Total moment = 0.00 μB per cell
VASP energy = -31.3 eV/cell
Calculated volume = 93.81 Å³/cell
Energy above the lowest structure with this stoichiometry = 0.303 eV per atom
ΔH_f (0 K) = 0.197 eV per atom
Space group = R-3m

Unit cell a=10.442 b=10.442 c=10.442 alpha=17.89 beta=17.89 gamma=17.89
Fractional positions:
Ho: 0.000 0.000 0.000
Zr: 0.103 0.103 0.103
Zr: 0.897 0.897 0.897
Tc: 0.500 0.500 0.500

Record 3
Density functional theory data (PBE) for an optimized crystal structure of HoZr2Tc9.

Total moment = 0.00 μB per cell
VASP energy = -116.7 eV/cell
Calculated volume = 208.01 Å³/cell
ΔH_f (0 K) = -0.140 eV per atom
Space group = R-3m

Unit cell a=9.212 b=9.212 c=9.212 alpha=33.15 beta=33.15 gamma=33.15
Fractional positions:
Ho: 0.000 0.000 0.000
Zr: 0.143 0.143 0.143
Zr: 0.857 0.857 0.857
Tc: 0.076 0.590 0.590
Tc: 0.336 0.336 0.336
Tc: 0.410 0.410 0.924
Tc: 0.410 0.924 0.410
Tc: 0.500 0.500 0.500
Tc: 0.590 0.076 0.590
Tc: 0.590 0.590 0.076
Tc: 0.664 0.664 0.664
Tc: 0.924 0.410 0.410

Please write out number 3 again, unchanged.
Density functional theory data (PBE) for an optimized crystal structure of HoZr2Tc9.

Total moment = 0.00 μB per cell
VASP energy = -116.7 eV/cell
Calculated volume = 208.01 Å³/cell
ΔH_f (0 K) = -0.140 eV per atom
Space group = R-3m

Unit cell a=9.212 b=9.212 c=9.212 alpha=33.15 beta=33.15 gamma=33.15
Fractional positions:
Ho: 0.000 0.000 0.000
Zr: 0.143 0.143 0.143
Zr: 0.857 0.857 0.857
Tc: 0.076 0.590 0.590
Tc: 0.336 0.336 0.336
Tc: 0.410 0.410 0.924
Tc: 0.410 0.924 0.410
Tc: 0.500 0.500 0.500
Tc: 0.590 0.076 0.590
Tc: 0.590 0.590 0.076
Tc: 0.664 0.664 0.664
Tc: 0.924 0.410 0.410

The highest ΔH_f (0 K) belongs to which entry? number 2

Which of these has the lowest calculated volume? number 1